Density functional theory data (PBE-GGA) for a relaxed structure of Li4ReW3N8.

Its density of states at the Fermi level is 0.60 states/eV per atom. The total energy comes out at -132.68 eV per formula unit. Its raw formation energy is -0.444 eV/atom. The total magnetic moment comes out at 0.00 μB/cell. The density is 9.2 Mg/m³.

The space group is R-3m (No. 166, hexagonal axes) and the conventional cell measures 5.9103, 5.9103 and 15.6633 Å, with angles of 90.00, 90.00 and 120.00 degrees. The distinct sites, in fractional coordinates, are Li at (0.0000, 0.0000, 0.0000), Li at (0.0000, 0.5000, 0.0000), Re at (0.0000, 0.0000, 0.5000), W at (0.0000, 0.5000, 0.5000), N at (0.0000, 0.0000, 0.2429) and N at (0.0023, 0.5012, 0.7561).